# 1
# MgIn2Cu2Pd5

A relaxed structure of MgIn2Cu2Pd5 (PBE, Alexandria).

symmetry = P4/mbm
ΔH_f (0 K) = -330 meV/atom
DOS(E_F) = 3.93 states/eV/f.u.

Lattice parameters (Å, degrees): 3.926 9.210 9.210 90.00 90.00 90.00
Fractional positions:
Pd: 0.500 0.908 0.192
In: 0.000 0.669 0.169
In: 0.000 0.831 0.669
Pd: 0.500 0.500 0.000
Cu: 0.000 0.626 0.874
Mg: 0.000 0.000 0.000
In: 0.000 0.169 0.331
Pd: 0.500 0.692 0.408
Mg: 0.000 0.500 0.500
Pd: 0.500 0.592 0.692
Cu: 0.000 0.874 0.374
Cu: 0.000 0.126 0.626
Cu: 0.000 0.374 0.126
Pd: 0.500 0.192 0.092
Pd: 0.500 0.408 0.308
Pd: 0.500 0.000 0.500
Pd: 0.500 0.808 0.908
Pd: 0.500 0.092 0.808
In: 0.000 0.331 0.831
Pd: 0.500 0.308 0.592

***

# 2
# MgIn12Ga7

A relaxed structure of MgIn12Ga7 (PBE, Alexandria).

symmetry = R-3
ΔH_f (0 K) = 29 meV/atom
DOS(E_F) = 7.56 states/eV/f.u.
energy above the lowest structure with this stoichiometry = 0.000 eV per atom

Lattice parameters (Å, degrees): 8.640 8.578 8.578 70.68 70.38 109.62
Fractional positions:
In: 0.472 0.665 0.866
In: 0.338 0.866 0.469
In: 0.058 0.172 0.281
In: 0.528 0.335 0.134
Ga: 0.500 0.000 0.000
Mg: 0.000 0.000 0.000
In: 0.661 0.719 0.453
Ga: 0.738 0.120 0.146
In: 0.193 0.531 0.335
Ga: 0.383 0.266 0.880
Ga: 0.117 0.854 0.266
In: 0.886 0.547 0.172
Ga: 0.883 0.146 0.734
Ga: 0.262 0.880 0.854
In: 0.662 0.134 0.531
In: 0.114 0.453 0.828
In: 0.339 0.281 0.547
Ga: 0.617 0.734 0.120
In: 0.807 0.469 0.665
In: 0.942 0.828 0.719

***

# 3
# GaHgMo3

A relaxed structure of GaHgMo3 (PBE, Alexandria).

symmetry = Pm-3m
ΔH_f (0 K) = 2531 meV/atom
DOS(E_F) = 9.92 states/eV/f.u.
energy above the lowest structure with this stoichiometry = 1.069 eV per atom

Lattice parameters (Å, degrees): 4.936 4.936 4.936 90.00 90.00 90.00
Fractional positions:
Mo: 0.500 0.000 0.000
Hg: 0.000 0.000 0.000
Ga: 0.500 0.500 0.500
Mo: 0.000 0.500 0.000
Mo: 0.000 0.000 0.500

***

What did the first record say?
# MgIn2Cu2Pd5

A relaxed structure of MgIn2Cu2Pd5 (PBE, Alexandria).

symmetry = P4/mbm
ΔH_f (0 K) = -330 meV/atom
DOS(E_F) = 3.93 states/eV/f.u.

Lattice parameters (Å, degrees): 3.926 9.210 9.210 90.00 90.00 90.00
Fractional positions:
Pd: 0.500 0.908 0.192
In: 0.000 0.669 0.169
In: 0.000 0.831 0.669
Pd: 0.500 0.500 0.000
Cu: 0.000 0.626 0.874
Mg: 0.000 0.000 0.000
In: 0.000 0.169 0.331
Pd: 0.500 0.692 0.408
Mg: 0.000 0.500 0.500
Pd: 0.500 0.592 0.692
Cu: 0.000 0.874 0.374
Cu: 0.000 0.126 0.626
Cu: 0.000 0.374 0.126
Pd: 0.500 0.192 0.092
Pd: 0.500 0.408 0.308
Pd: 0.500 0.000 0.500
Pd: 0.500 0.808 0.908
Pd: 0.500 0.092 0.808
In: 0.000 0.331 0.831
Pd: 0.500 0.308 0.592

***

Copy entry 3 word for word.
# GaHgMo3

A relaxed structure of GaHgMo3 (PBE, Alexandria).

symmetry = Pm-3m
ΔH_f (0 K) = 2531 meV/atom
DOS(E_F) = 9.92 states/eV/f.u.
energy above the lowest structure with this stoichiometry = 1.069 eV per atom

Lattice parameters (Å, degrees): 4.936 4.936 4.936 90.00 90.00 90.00
Fractional positions:
Mo: 0.500 0.000 0.000
Hg: 0.000 0.000 0.000
Ga: 0.500 0.500 0.500
Mo: 0.000 0.500 0.000
Mo: 0.000 0.000 0.500

***

Question: The highest ΔH_f (0 K) belongs to which entry?
Answer: GaHgMo3

***

Copy entry 2 word for word.
# MgIn12Ga7

A relaxed structure of MgIn12Ga7 (PBE, Alexandria).

symmetry = R-3
ΔH_f (0 K) = 29 meV/atom
DOS(E_F) = 7.56 states/eV/f.u.
energy above the lowest structure with this stoichiometry = 0.000 eV per atom

Lattice parameters (Å, degrees): 8.640 8.578 8.578 70.68 70.38 109.62
Fractional positions:
In: 0.472 0.665 0.866
In: 0.338 0.866 0.469
In: 0.058 0.172 0.281
In: 0.528 0.335 0.134
Ga: 0.500 0.000 0.000
Mg: 0.000 0.000 0.000
In: 0.661 0.719 0.453
Ga: 0.738 0.120 0.146
In: 0.193 0.531 0.335
Ga: 0.383 0.266 0.880
Ga: 0.117 0.854 0.266
In: 0.886 0.547 0.172
Ga: 0.883 0.146 0.734
Ga: 0.262 0.880 0.854
In: 0.662 0.134 0.531
In: 0.114 0.453 0.828
In: 0.339 0.281 0.547
Ga: 0.617 0.734 0.120
In: 0.807 0.469 0.665
In: 0.942 0.828 0.719